! CaTm2MoO6 (PBE with a Hubbard U, optimized geometry); values from VASP
! **Crystal system**: triclinic
! **VASP energy**: -7.713 eV/atom
! **Total magnetic moment**: 2.000 μB per formula unit
&SYSTEM
  ibrav = 0, nat = 10, ntyp = 4
/
ATOMIC_SPECIES
Ca 40.08 Ca.upf
Tm 168.93 Tm.upf
Mo 95.94 Mo.upf
O 16.00 O.upf
CELL_PARAMETERS angstrom
5.626 0.000 0.000
-2.775 4.897 0.000
-0.031 -3.181 5.005
ATOMIC_POSITIONS crystal
Ca 0.000 0.000 0.000
Tm 0.211 0.432 0.645
Tm 0.723 0.443 0.167
Mo 0.517 0.030 0.546
O 0.128 0.541 0.342
O 0.331 0.222 0.820
O 0.417 0.205 0.350
O 0.589 0.928 0.826
O 0.782 0.921 0.350
O 0.898 0.494 0.831